# PmThPt (GGA-PBE, optimized geometry)
data_PmThPt
_chemical_formula_sum 'Pm1 Th1 Pt1'
_space_group_name_H-M_alt 'P 3 m 1'
_space_group_IT_number 156
_cell_length_a 4.7893
_cell_length_b 4.7893
_cell_length_c 4.0503
_cell_angle_alpha 90.00
_cell_angle_beta 90.00
_cell_angle_gamma 120.00
loop_
_space_group_symop_operation_xyz
'x,y,z'
'-y,x-y,z'
'-x+y,-x,z'
'-y,-x,z'
'-x+y,y,z'
'x,x-y,z'
loop_
_atom_site_label
_atom_site_fract_x
_atom_site_fract_y
_atom_site_fract_z
Pm1 0.0000 0.0000 0.0000
Th1 0.6667 0.3333 0.4346
Pt1 0.3333 0.6667 0.7031
# M_tot	0.00	μB/f.u.
# crystal system	trigonal
# calculated formation energy	-1.6	eV per formula unit